Nd7Ho3In after structural relaxation. Source: Alexandria via LeMat-Bulk, functional PBE.

Output
D(E_F), states/eV/atom: 1.4119
Symmetry: P3m1
Energy of formation, kcal/mol of atoms: 2.37
V, Å³ per cell: 376.9
Crystal system: trigonal

a b c (Å): 7.1051 7.1051 8.6209
angles (deg): 90.00 90.00 120.00
Fractional positions:
Nd 0.0000 0.0000 0.0000
Nd 0.1644 0.3288 0.3413
Nd 0.1644 0.8356 0.3413
Nd 0.5024 0.0048 0.0079
Nd 0.5024 0.4976 0.0079
Nd 0.6712 0.8356 0.3413
Nd 0.9952 0.4976 0.0079
Ho 0.3333 0.1667 0.6707
Ho 0.8333 0.1667 0.6707
Ho 0.8333 0.6667 0.6707
In 0.6667 0.3333 0.3512